# NaTbTh

A relaxed NaTbTh crystal (PBE, OQMD via LeMat-Bulk).

Cell and atoms, written as extended XYZ:
```
3
Lattice="0.0000 3.8155 3.8155 3.8155 0.0000 3.8155 3.8155 3.8155 0.0000" Properties=species:S:1:pos:R:3 pbc="T T T"
Na 0.0000 0.0000 0.0000
Tb 3.8155 3.8155 3.8155
Th 1.9078 1.9078 1.9078
```

Density ... 6.188 g cm⁻³
Electronic total energy ... -3.23 eV/atom
Space group ... No. 216


# LuTlNO

A relaxed LuTlNO crystal (PBE, OQMD via LeMat-Bulk).

Cell and atoms, written as extended XYZ:
```
8
Lattice="3.7506 0.0000 0.0000 0.0000 6.6100 0.0000 0.0000 0.0000 5.9704" Properties=species:S:1:pos:R:3 pbc="T T T"
Lu 0.0000 1.0914 0.0000
Lu 0.0000 5.5186 2.9852
Tl 1.8753 2.2571 3.0179
Tl 1.8753 4.3529 0.0327
N 1.8753 2.0949 5.3793
N 1.8753 4.5151 2.3941
O 0.0000 0.7928 2.0791
O 0.0000 5.8172 5.0642
```

Density ... 9.185 g cm⁻³
Distance to the lowest polymorph of the same formula ... 0.636 eV/f.u.
Space group ... No. 26


# LiTaBIr

A relaxed LiTaBIr crystal (PBE, OQMD via LeMat-Bulk).

Cell and atoms, written as extended XYZ:
```
4
Lattice="0.0000 2.9353 2.9353 2.9353 0.0000 2.9353 2.9353 2.9353 0.0000" Properties=species:S:1:pos:R:3 pbc="T T T"
Li 0.0000 0.0000 0.0000
Ta 1.4676 1.4676 1.4676
B 4.4029 4.4029 4.4029
Ir 2.9353 2.9353 2.9353
```

Density ... 12.834 g cm⁻³
Distance to the lowest polymorph of the same formula ... 0.000 eV/f.u.
Space group ... No. 216


# GdNiOs

A relaxed GdNiOs crystal (PBE, OQMD via LeMat-Bulk).

Cell and atoms, written as extended XYZ:
```
3
Lattice="0.0000 3.0708 3.0708 3.0708 0.0000 3.0708 3.0708 3.0708 0.0000" Properties=species:S:1:pos:R:3 pbc="T T T"
Gd 0.0000 0.0000 0.0000
Ni 1.5354 1.5354 1.5354
Os 3.0708 3.0708 3.0708
```

Density ... 11.645 g cm⁻³
Distance to the lowest polymorph of the same formula ... 0.000 eV/f.u.
Space group ... No. 216


# LuTlMo

A relaxed LuTlMo crystal (PBE, OQMD via LeMat-Bulk).

Cell and atoms, written as extended XYZ:
```
3
Lattice="0.0000 3.3552 3.3552 3.3552 0.0000 3.3552 3.3552 3.3552 0.0000" Properties=species:S:1:pos:R:3 pbc="T T T"
Lu 0.0000 0.0000 0.0000
Tl 1.6776 1.6776 1.6776
Mo 3.3552 3.3552 3.3552
```

Density ... 10.448 g cm⁻³
Electronic total energy ... -5.10 eV/atom
Space group ... No. 216


# LuSnAs

A relaxed LuSnAs crystal (PBE, OQMD via LeMat-Bulk).

Cell and atoms, written as extended XYZ:
```
3
Lattice="0.0000 3.4661 3.4661 3.4661 0.0000 3.4661 3.4661 3.4661 0.0000" Properties=species:S:1:pos:R:3 pbc="T T T"
Lu 0.0000 0.0000 0.0000
Sn 1.7330 1.7330 1.7330
As 5.1991 5.1991 5.1991
```

Density ... 7.349 g cm⁻³
Electronic total energy ... -4.62 eV/atom
Space group ... No. 216


# Hf2CoSb2Ir

A relaxed Hf2CoSb2Ir crystal (PBE, OQMD via LeMat-Bulk).

Cell and atoms, written as extended XYZ:
```
24
Lattice="7.6044 0.0000 0.0000 0.0000 4.3816 0.0000 -2.4926 0.0000 14.3217" Properties=species:S:1:pos:R:3 pbc="T T T"
Hf 0.0000 0.0000 0.0000
Hf -1.2114 2.1908 7.0497
Hf -0.0105 0.0000 10.6003
Hf 1.2618 2.1908 3.4861
Hf 2.5026 0.0000 6.9982
Hf 3.7911 2.1908 0.0016
Hf 5.0730 0.0000 3.4436
Hf 3.8739 2.1908 10.6122
Co -1.2365 2.1908 9.7177
Co 0.0042 0.0000 2.6223
Co 1.2676 2.1908 6.1265
Co 3.7949 2.1908 2.6117
Sb -1.2308 2.1908 12.3620
Sb 0.0628 0.0000 5.2302
Sb 1.2259 2.1908 8.7777
Sb 2.5268 0.0000 1.7955
Sb 3.7413 2.1908 5.2151
Sb 2.5643 0.0000 12.4328
Sb 6.3404 2.1908 1.7964
Sb 5.1532 0.0000 8.8595
Ir 0.0283 0.0000 13.3603
Ir 2.5557 0.0000 9.7098
Ir 5.0838 0.0000 6.1388
Ir 3.8434 2.1908 13.3698
```

Density ... 11.854 g cm⁻³
Electronic total energy ... -8.15 eV/atom
Space group ... No. 6


# Rb4Ag2BiAs

A relaxed Rb4Ag2BiAs crystal (PBE, OQMD via LeMat-Bulk).

Cell and atoms, written as extended XYZ:
```
8
Lattice="6.5673 0.0000 0.0000 0.0000 5.4528 4.1438 0.0000 -5.4528 4.1438" Properties=species:S:1:pos:R:3 pbc="T T T"
Rb 0.0000 -3.6542 4.1438
Rb 0.0000 3.6542 4.1438
Rb 3.2836 -1.9302 5.7794
Rb 3.2836 1.9302 5.7794
Ag 1.7645 0.0000 2.7167
Ag 4.8028 0.0000 2.7167
Bi 0.0000 0.0000 4.8897
As 3.2836 0.0000 0.6573
```

Density ... 4.708 g cm⁻³
Electronic total energy ... -2.62 eV/atom
Space group ... No. 38


# Gd3Al3GeIr2

A relaxed Gd3Al3GeIr2 crystal (PBE, OQMD via LeMat-Bulk).

Cell and atoms, written as extended XYZ:
```
9
Lattice="8.0831 0.0000 0.0000 -4.0415 7.0001 0.0000 0.0000 0.0000 3.1847" Properties=species:S:1:pos:R:3 pbc="T T T"
Gd -2.8589 4.9518 0.0000
Gd 1.1826 2.0483 0.0000
Gd 5.7179 0.0000 0.0000
Al -1.5599 2.7018 1.5923
Al 3.1198 0.0000 1.5923
Al 2.4816 4.2983 1.5923
Ge 0.0000 0.0000 1.5923
Ir 0.0000 4.6668 0.0000
Ir 4.0415 2.3334 0.0000
```

Density ... 9.305 g cm⁻³
Distance to the lowest polymorph of the same formula ... 3.806 eV/f.u.
Space group ... No. 189


# Hf4AuC2S

A relaxed Hf4AuC2S crystal (PBE, OQMD via LeMat-Bulk).

Cell and atoms, written as extended XYZ:
```
8
Lattice="3.3325 0.0000 0.0000 -1.6662 2.8860 0.0000 0.0000 0.0000 13.1024" Properties=species:S:1:pos:R:3 pbc="T T T"
Hf 0.0000 0.0000 1.8178
Hf 0.0000 0.0000 11.2847
Hf 1.6662 0.9620 4.2986
Hf 1.6662 0.9620 8.8039
Au 0.0000 0.0000 6.5512
C 0.0000 1.9240 3.0537
C 0.0000 1.9240 10.0487
S 1.6662 0.9620 0.0000
```

Density ... 12.743 g cm⁻³
Electronic total energy ... -9.24 eV/atom
Space group ... No. 187


# TbY2Co2B2C3

A relaxed TbY2Co2B2C3 crystal (PBE, OQMD via LeMat-Bulk).

Cell and atoms, written as extended XYZ:
```
10
Lattice="-1.7750 1.7750 10.2885 1.7750 -1.7750 10.2885 1.7750 1.7750 -10.2885" Properties=species:S:1:pos:R:3 pbc="T T T"
Tb 0.0000 0.0000 0.0000
Y 0.0000 0.0000 7.7239
Y 0.0000 0.0000 12.8530
Co 1.7750 0.0000 5.1442
Co 0.0000 1.7750 5.1442
B 0.0000 0.0000 4.0121
B 0.0000 0.0000 16.5649
C 0.0000 0.0000 2.5067
C 0.0000 0.0000 10.2885
C 0.0000 0.0000 18.0703
```

Density ... 6.560 g cm⁻³
Electronic total energy ... -7.58 eV/atom
Space group ... No. 139


# SmGe2Sb2

A relaxed SmGe2Sb2 crystal (PBE, OQMD via LeMat-Bulk).

Cell and atoms, written as extended XYZ:
```
10
Lattice="4.2194 0.0000 0.0000 0.0000 4.2194 0.0000 0.0000 0.0000 14.8923" Properties=species:S:1:pos:R:3 pbc="T T T"
Sm 1.0548 1.0548 3.2027
Sm 3.1645 3.1645 11.6896
Ge 1.0548 1.0548 12.4113
Ge 1.0548 3.1645 7.4462
Ge 3.1645 1.0548 7.4462
Ge 3.1645 3.1645 2.4810
Sb 1.0548 1.0548 9.6939
Sb 1.0548 3.1645 0.0000
Sb 3.1645 1.0548 0.0000
Sb 3.1645 3.1645 5.1984
```

Density ... 6.754 g cm⁻³
Electronic total energy ... -4.56 eV/atom
Space group ... No. 129


# Lu4Ta2Ni3N3

A relaxed Lu4Ta2Ni3N3 crystal (PBE, OQMD via LeMat-Bulk).

Cell and atoms, written as extended XYZ:
```
24
Lattice="4.9221 -2.8505 0.0000 4.9221 2.8505 0.0000 -3.3676 0.0000 12.9278" Properties=species:S:1:pos:R:3 pbc="T T T"
Lu 0.8064 0.4544 1.4504
Lu 0.7569 0.5096 5.0151
Lu -0.8774 -0.4544 7.9143
Lu -0.9269 -0.5096 11.4790
Lu 7.4036 0.5096 1.4488
Lu 7.3541 0.4544 5.0135
Lu 5.7199 -0.5096 7.9126
Lu 5.6704 -0.4544 11.4774
Ta 4.0669 0.4996 1.0757
Ta 4.0936 0.4996 5.3882
Ta 2.3831 -0.4996 7.5395
Ta 2.4098 -0.4996 11.8521
Ni 4.0802 1.9220 3.2319
Ni 1.1530 0.1994 9.7049
Ni 2.8368 -0.1994 3.2410
Ni 3.6400 0.1994 9.6868
Ni 5.3237 -0.1994 3.2229
Ni 2.3965 -1.9220 9.6958
N 2.4611 1.4252 0.0000
N 2.4460 1.3742 6.4692
N 2.3469 1.3742 12.9225
N 0.7773 -1.4252 6.4639
N 4.1298 -1.3742 0.0053
N 4.0307 -1.3742 6.4586
```

Density ... 11.717 g cm⁻³
Electronic total energy ... -7.80 eV/atom
Space group ... No. 15


# HfUN2

A relaxed HfUN2 crystal (PBE, OQMD via LeMat-Bulk).

Cell and atoms, written as extended XYZ:
```
4
Lattice="1.6217 0.9363 5.6175 -1.6217 0.9363 5.6175 0.0000 -1.8726 5.6175" Properties=species:S:1:pos:R:3 pbc="T T T"
Hf 0.0000 0.0000 0.0000
U 0.0000 0.0000 8.4263
N 0.0000 0.0000 4.3648
N 0.0000 0.0000 12.4877
```

Density ... 14.423 g cm⁻³
Electronic total energy ... -11.05 eV/atom
Space group ... No. 166


# NiMoPd

A relaxed NiMoPd crystal (PBE, OQMD via LeMat-Bulk).

Cell and atoms, written as extended XYZ:
```
3
Lattice="0.0000 2.8651 2.8651 2.8651 0.0000 2.8651 2.8651 2.8651 0.0000" Properties=species:S:1:pos:R:3 pbc="T T T"
Ni 0.0000 0.0000 0.0000
Mo 4.2976 4.2976 4.2976
Pd 1.4325 1.4325 1.4325
```

Density ... 9.216 g cm⁻³
Distance to the lowest polymorph of the same formula ... 1.601 eV/f.u.
Space group ... No. 216


# DyAsNO

A relaxed DyAsNO crystal (PBE, OQMD via LeMat-Bulk).

Cell and atoms, written as extended XYZ:
```
16
Lattice="6.4733 0.0000 0.0000 0.0000 6.8593 0.0000 0.0000 0.0000 5.8926" Properties=species:S:1:pos:R:3 pbc="T T T"
Dy 0.5705 1.1800 0.0000
Dy 2.6662 1.1800 2.9463
Dy 3.8071 5.6792 0.0000
Dy 5.9029 5.6792 2.9463
As 1.0170 4.8821 0.4163
As 2.2196 4.8821 3.3626
As 4.2537 1.9772 0.4163
As 5.4563 1.9772 3.3626
N 0.4908 0.8606 3.5933
N 2.7459 0.8606 0.6471
N 3.7275 5.9986 3.5933
N 5.9826 5.9986 0.6471
O 0.4051 3.2523 0.4052
O 2.8316 3.2523 3.3515
O 3.6418 3.6069 0.4052
O 6.0682 3.6069 3.3515
```

Density ... 6.789 g cm⁻³
Distance to the lowest polymorph of the same formula ... 0.000 eV/f.u.
Space group ... No. 29


# Lu4GaCuN2

A relaxed Lu4GaCuN2 crystal (PBE, OQMD via LeMat-Bulk).

Cell and atoms, written as extended XYZ:
```
8
Lattice="3.3842 0.0000 0.0000 -1.6921 2.9308 0.0000 0.0000 0.0000 14.2281" Properties=species:S:1:pos:R:3 pbc="T T T"
Lu 0.0000 0.0000 2.0825
Lu 0.0000 0.0000 12.1456
Lu 0.0000 1.9538 4.7574
Lu 0.0000 1.9538 9.4707
Ga 0.0000 0.0000 7.1140
Cu 0.0000 1.9538 0.0000
N 1.6921 0.9769 3.5157
N 1.6921 0.9769 10.7124
```

Density ... 10.133 g cm⁻³
Electronic total energy ... -6.18 eV/atom
Space group ... No. 187


# LaYZn2Ge2

A relaxed LaYZn2Ge2 crystal (PBE, OQMD via LeMat-Bulk).

Cell and atoms, written as extended XYZ:
```
12
Lattice="4.2984 0.0000 0.0000 -2.1492 3.7225 0.0000 0.0000 0.0000 16.3432" Properties=species:S:1:pos:R:3 pbc="T T T"
La 0.0000 0.0000 0.0000
La 0.0000 0.0000 8.1716
Y 0.0000 0.0000 4.0858
Y 0.0000 0.0000 12.2574
Zn 0.0000 2.4817 2.5073
Zn 0.0000 2.4817 5.6643
Zn 2.1492 1.2408 10.6789
Zn 2.1492 1.2408 13.8359
Ge 0.0000 2.4817 10.1237
Ge 0.0000 2.4817 14.3911
Ge 2.1492 1.2408 1.9521
Ge 2.1492 1.2408 6.2195
```

Density ... 6.400 g cm⁻³
Distance to the lowest polymorph of the same formula ... 0.000 eV/f.u.
Space group ... No. 194


# Sr2BiSbAu2

A relaxed Sr2BiSbAu2 crystal (PBE, OQMD via LeMat-Bulk).

Cell and atoms, written as extended XYZ:
```
6
Lattice="4.8290 0.0000 0.0000 -2.4145 4.1821 0.0000 0.0000 0.0000 8.6947" Properties=species:S:1:pos:R:3 pbc="T T T"
Sr 0.0000 0.0000 0.0000
Sr 0.0000 0.0000 4.2823
Bi 0.0000 2.7880 6.4743
Sb 2.4145 1.3940 2.1303
Au 0.0000 2.7880 2.1572
Au 2.4145 1.3940 6.5081
```

Density ... 8.510 g cm⁻³
Electronic total energy ... -3.82 eV/atom
Space group ... No. 156


# PmSeF

A relaxed PmSeF crystal (PBE, OQMD via LeMat-Bulk).

Cell and atoms, written as extended XYZ:
```
6
Lattice="3.9757 0.0000 0.0000 0.0000 3.9757 0.0000 0.0000 0.0000 7.1470" Properties=species:S:1:pos:R:3 pbc="T T T"
Pm 0.9939 0.9939 1.5533
Pm 2.9818 2.9818 5.5937
Se 0.9939 0.9939 4.5996
Se 2.9818 2.9818 2.5474
F 0.9939 2.9818 0.0000
F 2.9818 0.9939 0.0000
```

Density ... 7.143 g cm⁻³
Electronic total energy ... -6.26 eV/atom
Space group ... No. 129


# TmHf2Cu4Si4

A relaxed TmHf2Cu4Si4 crystal (PBE, OQMD via LeMat-Bulk).

Cell and atoms, written as extended XYZ:
```
11
Lattice="-1.9650 3.2396 6.5478 1.9650 -3.2396 6.5478 1.9650 3.2396 -6.5478" Properties=species:S:1:pos:R:3 pbc="T T T"
Tm 0.0000 0.0000 0.0000
Hf 1.9650 0.0000 4.9266
Hf 0.0000 3.2396 1.6212
Cu 1.9650 1.2523 -2.2378
Cu 1.9650 1.2523 2.2378
Cu 0.0000 1.9872 4.3100
Cu 0.0000 1.9872 8.7856
Si 0.0000 0.0000 2.8702
Si 1.9650 2.0418 0.0000
Si 0.0000 1.1977 6.5478
Si 0.0000 0.0000 10.2254
```

Density ... 8.888 g cm⁻³
Electronic total energy ... -6.09 eV/atom
Space group ... No. 71


# Ta2Ge2Mo

A relaxed Ta2Ge2Mo crystal (PBE, OQMD via LeMat-Bulk).

Cell and atoms, written as extended XYZ:
```
5
Lattice="-1.7653 1.7653 6.8268 1.7653 -1.7653 6.8268 1.7653 1.7653 -6.8268" Properties=species:S:1:pos:R:3 pbc="T T T"
Ta 0.0000 0.0000 1.3845
Ta 0.0000 0.0000 12.2692
Ge 1.7653 0.0000 3.4134
Ge 0.0000 1.7653 3.4134
Mo 0.0000 0.0000 6.8268
```

Density ... 11.769 g cm⁻³
Distance to the lowest polymorph of the same formula ... 0.000 eV/f.u.
Space group ... No. 139


# DyLu6Hg

A relaxed DyLu6Hg crystal (PBE, OQMD via LeMat-Bulk).

Cell and atoms, written as extended XYZ:
```
8
Lattice="6.9157 0.0000 0.0000 -3.4579 5.9892 0.0000 0.0000 0.0000 5.4708" Properties=species:S:1:pos:R:3 pbc="T T T"
Dy 0.0000 0.0000 0.0000
Lu -1.7250 2.9969 0.0000
Lu 1.6974 0.9800 2.7354
Lu 1.7250 2.9969 0.0000
Lu 0.0000 5.9846 0.0000
Lu 5.2183 0.9800 2.7354
Lu 3.4579 4.0292 2.7354
Hg 0.0000 3.9928 2.7354
```

Density ... 10.354 g cm⁻³
Electronic total energy ... -4.03 eV/atom
Space group ... No. 187


# GdPaAg

A relaxed GdPaAg crystal (PBE, OQMD via LeMat-Bulk).

Cell and atoms, written as extended XYZ:
```
3
Lattice="0.0000 3.5194 3.5194 3.5194 0.0000 3.5194 3.5194 3.5194 0.0000" Properties=species:S:1:pos:R:3 pbc="T T T"
Gd 0.0000 0.0000 0.0000
Pa 3.5194 3.5194 3.5194
Ag 1.7597 1.7597 1.7597
```

Density ... 9.450 g cm⁻³
Distance to the lowest polymorph of the same formula ... 0.000 eV/f.u.
Space group ... No. 216